DFT (PBE with a Hubbard U) results for a relaxed MnRu2O6 crystal.

## Properties
* uncorrected energy: -7.268 eV/atom
* symmetry: P321

```
MnRu2O6
1.0
4.373 0.000 0.000
0.000 7.488 -4.323
0.000 0.000 8.646
Mn Ru O
3 6 18
direct
0.000 0.000 0.000
0.504 0.667 0.333
0.496 0.333 0.667
0.500 0.320 0.320
0.500 0.680 0.000
0.000 0.654 0.654
0.500 0.000 0.680
0.000 0.000 0.346
0.000 0.346 0.000
0.761 0.223 0.107
0.749 0.566 0.108
0.251 0.434 0.542
0.761 0.885 0.777
0.239 0.777 0.885
0.251 0.108 0.566
0.239 0.107 0.223
0.761 0.893 0.115
0.260 0.772 0.560
0.740 0.228 0.788
0.740 0.212 0.440
0.260 0.440 0.212
0.251 0.458 0.892
0.260 0.788 0.228
0.749 0.542 0.434
0.239 0.115 0.893
0.740 0.560 0.772
0.749 0.892 0.458
```